[1]
Material: PrTm2Tl4
Method: DFT, PBE
State: optimized geometry

## Properties
Formation energy (eV/atom): -0.1963
Space group: P4/mmm, No. 123
Fermi-level density of states (states/eV/atom): 0.78
ρ (g/cm³): 10.23
Calculated volume (Å³ per cell): 210.42
Uncorrected energy (eV per atom): -3.509

Cell lengths 5.246, 5.246, 7.647 Å; angles 90.00, 90.00, 90.00 degrees
Positions (direct):
1 Pr 0.000 0.000 0.000
2 Tm 0.000 0.000 0.500
3 Tm 0.500 0.500 0.000
4 Tl 0.000 0.500 0.275
5 Tl 0.000 0.500 0.725
6 Tl 0.500 0.000 0.275
7 Tl 0.500 0.000 0.725

---

[2]
Material: Ca2AgAs2
Method: DFT, PBE
State: optimized geometry

## Properties
Formation energy (eV/atom): -0.7820
Space group: C2/m, No. 12
Fermi-level density of states (states/eV/atom): 0.10
ρ (g/cm³): 4.64
Calculated volume (Å³ per cell): 241.91
Uncorrected energy (eV per atom): -4.013

Cell lengths 6.134, 6.134, 10.799 Å; angles 114.03, 114.03, 41.40 degrees
Positions (direct):
1 Ca 0.084 0.084 0.406
2 Ca 0.317 0.317 0.838
3 Ca 0.683 0.683 0.162
4 Ca 0.916 0.916 0.594
5 Ag 0.401 0.401 0.179
6 Ag 0.599 0.599 0.821
7 As 0.067 0.067 0.934
8 As 0.326 0.326 0.373
9 As 0.674 0.674 0.627
10 As 0.933 0.933 0.066

---

[3]
Material: NbPS2N
Method: DFT, PBE
State: optimized geometry

## Properties
Space group: P4/mmm, No. 123
Fermi-level density of states (states/eV/atom): 0.52
ρ (g/cm³): 2.97
Calculated volume (Å³ per cell): 112.99
Uncorrected energy (eV per atom): -5.402
Formation energy without anion corrections (eV/atom): 1.01

Cell lengths 4.780, 4.780, 4.946 Å; angles 90.00, 90.00, 90.00 degrees
Positions (direct):
1 Nb 0.000 0.000 0.000
2 P 0.000 0.000 0.500
3 S 0.000 0.500 0.000
4 S 0.500 0.000 0.000
5 N 0.500 0.500 0.500

---

[4]
Material: MnGeRuRh
Method: DFT, PBE
State: optimized geometry

## Properties
Formation energy (eV/atom): -0.3433
Space group: F-43m, No. 216
Fermi-level density of states (states/eV/atom): 0.69
ρ (g/cm³): 9.98
Calculated volume (Å³ per cell): 55.19
Uncorrected energy (eV per atom): -7.947

Cell lengths 4.273, 4.273, 4.273 Å; angles 60.00, 60.00, 60.00 degrees
Positions (direct):
1 Mn 0.000 0.000 0.000
2 Ge 0.500 0.500 0.500
3 Ru 0.750 0.750 0.750
4 Rh 0.250 0.250 0.250

---

[5]
Material: TbPrTl2Se4
Method: DFT, PBE
State: optimized geometry

## Properties
Space group: P2/m, No. 10
ρ (g/cm³): 6.90
Calculated volume (Å³ per cell): 246.53
Uncorrected energy (eV per atom): -4.889
Formation energy without anion corrections (eV/atom): -1.38

Cell lengths 7.420, 4.282, 8.142 Å; angles 90.00, 107.64, 90.00 degrees
Positions (direct):
1 Tb 0.000 0.000 0.000
2 Pr 0.500 0.500 0.000
3 Tl 0.000 0.500 0.500
4 Tl 0.500 0.000 0.500
5 Se 0.228 0.500 0.207
6 Se 0.255 0.000 0.789
7 Se 0.745 0.000 0.211
8 Se 0.772 0.500 0.793

---

[6]
Material: SrZnRe2
Method: DFT, PBE
State: optimized geometry

## Properties
Formation energy (eV/atom): 0.6558
Space group: R3m, No. 160
Fermi-level density of states (states/eV/atom): 0.86
ρ (g/cm³): 12.02
Calculated volume (Å³ per cell): 72.59
Uncorrected energy (eV per atom): -6.307

Cell lengths 10.109, 10.109, 10.109 Å; angles 16.49, 16.49, 16.49 degrees
Positions (direct):
1 Sr 0.000 0.000 0.000
2 Zn 0.762 0.762 0.762
3 Re 0.239 0.239 0.239
4 Re 0.503 0.503 0.503

---

[7]
Material: K2BBr
Method: DFT, PBE
State: optimized geometry

## Properties
Space group: Fm-3m, No. 225
Fermi-level density of states (states/eV/atom): 1.68
ρ (g/cm³): 2.25
Calculated volume (Å³ per cell): 124.89
Uncorrected energy (eV per atom): -2.348
Formation energy without anion corrections (eV/atom): 0.29

Cell lengths 5.611, 5.611, 5.611 Å; angles 60.00, 60.00, 60.00 degrees
Positions (direct):
1 K 0.250 0.250 0.250
2 K 0.750 0.750 0.750
3 B 0.000 0.000 0.000
4 Br 0.500 0.500 0.500

---

[8]
Material: GaTcBr2
Method: DFT, PBE
State: optimized geometry

## Properties
Space group: I-42d, No. 122
Fermi-level density of states (states/eV/atom): 0.80
ρ (g/cm³): 5.23
Calculated volume (Å³ per cell): 207.79
Uncorrected energy (eV per atom): -4.069
Formation energy without anion corrections (eV/atom): 0.12

Cell lengths 6.889, 6.889, 6.889 Å; angles 97.76, 97.76, 136.88 degrees
Positions (direct):
1 Ga 0.000 0.000 0.000
2 Ga 0.750 0.250 0.500
3 Tc 0.250 0.750 0.500
4 Tc 0.500 0.500 0.000
5 Br 0.267 0.625 0.142
6 Br 0.375 0.517 0.642
7 Br 0.483 0.125 0.858
8 Br 0.875 0.733 0.358

---

Q: What is the ρ in the eighth record?
A: 5.23 g/cm³

---

Q: uncorrected energy of number 4 (MnGeRuRh)?
A: -7.947 eV per atom

---

Repeat the eighth record exactly.
Material: GaTcBr2
Method: DFT, PBE
State: optimized geometry

## Properties
Space group: I-42d, No. 122
Fermi-level density of states (states/eV/atom): 0.80
ρ (g/cm³): 5.23
Calculated volume (Å³ per cell): 207.79
Uncorrected energy (eV per atom): -4.069
Formation energy without anion corrections (eV/atom): 0.12

Cell lengths 6.889, 6.889, 6.889 Å; angles 97.76, 97.76, 136.88 degrees
Positions (direct):
1 Ga 0.000 0.000 0.000
2 Ga 0.750 0.250 0.500
3 Tc 0.250 0.750 0.500
4 Tc 0.500 0.500 0.000
5 Br 0.267 0.625 0.142
6 Br 0.375 0.517 0.642
7 Br 0.483 0.125 0.858
8 Br 0.875 0.733 0.358

---

What did the third record say?
Material: NbPS2N
Method: DFT, PBE
State: optimized geometry

## Properties
Space group: P4/mmm, No. 123
Fermi-level density of states (states/eV/atom): 0.52
ρ (g/cm³): 2.97
Calculated volume (Å³ per cell): 112.99
Uncorrected energy (eV per atom): -5.402
Formation energy without anion corrections (eV/atom): 1.01

Cell lengths 4.780, 4.780, 4.946 Å; angles 90.00, 90.00, 90.00 degrees
Positions (direct):
1 Nb 0.000 0.000 0.000
2 P 0.000 0.000 0.500
3 S 0.000 0.500 0.000
4 S 0.500 0.000 0.000
5 N 0.500 0.500 0.500